# Cs3Rb3Zn2O5

A geometry-optimized Cs3Rb3Zn2O5 structure (PBE, OQMD via LeMat-Bulk).

Lattice parameters (Å, degrees): 7.149 12.238 7.028 90.00 92.64 90.00
Space group Cm (No. 8)
Inequivalent atoms, fractional coordinates:
Cs 0.000 0.000 0.000
Cs 0.158 0.261 0.316
Rb 0.157 0.281 0.811
Rb 0.310 0.000 0.637
Zn 0.347 0.500 0.515
Zn 0.454 0.000 0.133
O 0.108 0.500 0.370
O 0.364 0.133 0.024
O 0.457 0.366 0.598

Results
The energy comes out at -3.719 eV/atom. The volume is 23.62 A^3/atom. The calculation puts the energy above the lowest structure with this stoichiometry at 0.000 eV per formula unit.